No. 1
Here is a geometry-optimized CoPAu2 structure from the Alexandria database. Energies are from GGA-PBE.

a = 3.734 Å, b = 3.525 Å, c = 5.071 Å
α = 90.00°, β = 111.12°, γ = 90.00°
Fractional positions:
Co  0.000  0.000  0.000
P  0.878  0.500  0.756
Au  0.285  0.000  0.565
Au  0.610  0.500  0.223

* total DFT energy (no corrections): -4.661 eV per atom
* energy relative to the lowest polymorph listed for this composition: 0.089 eV/atom
* energy of formation from the pure elements: 0.107 eV per atom

No. 2
Here is a geometry-optimized CoP2Au structure from the Alexandria database. Energies are from GGA-PBE.

a = 2.751 Å, b = 2.751 Å, c = 8.033 Å
α = 90.00°, β = 90.00°, γ = 90.00°
Fractional positions:
Co  0.000  0.000  0.000
P  0.500  0.500  0.171
P  0.500  0.500  0.829
Au  0.000  0.000  0.500

* total DFT energy (no corrections): -5.178 eV per atom
* energy relative to the lowest polymorph listed for this composition: 0.286 eV/atom
* energy of formation from the pure elements: 0.122 eV per atom

No. 3
Here is a geometry-optimized CoP2Au structure from the Alexandria database. Energies are from GGA-PBE.

a = 2.736 Å, b = 4.488 Å, c = 10.244 Å
α = 90.00°, β = 90.00°, γ = 90.00°
Fractional positions:
Co  0.000  0.000  0.000
Co  0.500  0.500  0.500
P  0.000  0.500  0.325
P  0.000  0.500  0.675
P  0.500  0.000  0.175
P  0.500  0.000  0.825
Au  0.000  0.000  0.500
Au  0.500  0.500  0.000

* total DFT energy (no corrections): -5.111 eV per atom
* energy relative to the lowest polymorph listed for this composition: 0.353 eV/atom
* energy of formation from the pure elements: 0.190 eV per atom

No. 4
Here is a geometry-optimized CoPAu2 structure from the Alexandria database. Energies are from GGA-PBE.

a = 3.938 Å, b = 3.938 Å, c = 4.046 Å
α = 90.00°, β = 90.00°, γ = 90.00°
Fractional positions:
Co  0.000  0.000  0.000
P  0.500  0.500  0.000
Au  0.000  0.500  0.500
Au  0.500  0.000  0.500

* total DFT energy (no corrections): -4.359 eV per atom
* energy relative to the lowest polymorph listed for this composition: 0.391 eV/atom
* energy of formation from the pure elements: 0.409 eV per atom

No. 5
Here is a geometry-optimized CoP2Au structure from the Alexandria database. Energies are from GGA-PBE.

a = 3.042 Å, b = 3.042 Å, c = 21.810 Å
α = 90.00°, β = 90.00°, γ = 120.00°
Fractional positions:
Co  0.000  0.000  0.000
Co  0.333  0.667  0.667
Co  0.667  0.333  0.333
P  0.000  0.000  0.267
P  0.000  0.000  0.733
P  0.333  0.667  0.400
P  0.333  0.667  0.933
P  0.667  0.333  0.067
P  0.667  0.333  0.600
Au  0.000  0.000  0.500
Au  0.333  0.667  0.167
Au  0.667  0.333  0.833

* total DFT energy (no corrections): -5.214 eV per atom
* energy relative to the lowest polymorph listed for this composition: 0.250 eV/atom
* energy of formation from the pure elements: 0.087 eV per atom

No. 6
Here is a geometry-optimized Co2PAu structure from the Alexandria database. Energies are from GGA-PBE.

a = 5.934 Å, b = 5.934 Å, c = 5.934 Å
α = 90.00°, β = 90.00°, γ = 90.00°
Fractional positions:
Co  0.250  0.250  0.250
Co  0.250  0.250  0.750
Co  0.250  0.750  0.250
Co  0.250  0.750  0.750
Co  0.750  0.250  0.250
Co  0.750  0.250  0.750
Co  0.750  0.750  0.250
Co  0.750  0.750  0.750
P  0.000  0.000  0.000
P  0.000  0.500  0.500
P  0.500  0.000  0.500
P  0.500  0.500  0.000
Au  0.000  0.000  0.500
Au  0.000  0.500  0.000
Au  0.500  0.000  0.000
Au  0.500  0.500  0.500

* total DFT energy (no corrections): -5.482 eV per atom
* energy relative to the lowest polymorph listed for this composition: 0.381 eV/atom
* energy of formation from the pure elements: 0.243 eV per atom

No. 7
Here is a geometry-optimized CoPAu2 structure from the Alexandria database. Energies are from GGA-PBE.

a = 5.410 Å, b = 7.497 Å, c = 3.114 Å
α = 90.00°, β = 90.00°, γ = 90.00°
Fractional positions:
Co  0.000  0.000  0.000
Co  0.500  0.500  0.000
P  0.000  0.500  0.000
P  0.500  0.000  0.000
Au  0.250  0.250  0.500
Au  0.250  0.750  0.500
Au  0.750  0.250  0.500
Au  0.750  0.750  0.500

* total DFT energy (no corrections): -4.342 eV per atom
* energy relative to the lowest polymorph listed for this composition: 0.408 eV/atom
* energy of formation from the pure elements: 0.426 eV per atom

No. 8
Here is a geometry-optimized CoP2Au structure from the Alexandria database. Energies are from GGA-PBE.

a = 6.578 Å, b = 2.726 Å, c = 7.700 Å
α = 90.00°, β = 111.00°, γ = 90.00°
Fractional positions:
Co  0.000  0.000  0.000
Co  0.500  0.500  0.000
P  0.137  0.500  0.833
P  0.363  0.000  0.167
P  0.637  0.000  0.833
P  0.863  0.500  0.167
Au  0.000  0.500  0.500
Au  0.500  0.000  0.500

* total DFT energy (no corrections): -5.464 eV per atom
* energy relative to the lowest polymorph listed for this composition: 0.000 eV/atom
* energy of formation from the pure elements: -0.163 eV per atom

No. 9
Here is a geometry-optimized CoP2Au structure from the Alexandria database. Energies are from GGA-PBE.

a = 5.342 Å, b = 5.342 Å, c = 10.241 Å
α = 90.00°, β = 90.00°, γ = 90.00°
Fractional positions:
Co  0.000  0.000  0.000
Co  0.000  0.500  0.250
Co  0.500  0.000  0.750
Co  0.500  0.500  0.500
P  0.197  0.250  0.125
P  0.250  0.697  0.375
P  0.250  0.803  0.875
P  0.303  0.250  0.625
P  0.697  0.750  0.625
P  0.750  0.197  0.875
P  0.750  0.303  0.375
P  0.803  0.750  0.125
Au  0.000  0.000  0.500
Au  0.000  0.500  0.750
Au  0.500  0.000  0.250
Au  0.500  0.500  0.000

* total DFT energy (no corrections): -5.287 eV per atom
* energy relative to the lowest polymorph listed for this composition: 0.177 eV/atom
* energy of formation from the pure elements: 0.014 eV per atom

No. 10
Here is a geometry-optimized CoP2Au2 structure from the Alexandria database. Energies are from GGA-PBE.

a = 5.657 Å, b = 5.657 Å, c = 4.968 Å
α = 90.00°, β = 90.00°, γ = 90.00°
Fractional positions:
Co  0.000  0.000  0.000
Co  0.500  0.500  0.000
P  0.141  0.359  0.000
P  0.359  0.859  0.000
P  0.641  0.141  0.000
P  0.859  0.641  0.000
Au  0.184  0.316  0.500
Au  0.316  0.816  0.500
Au  0.684  0.184  0.500
Au  0.816  0.684  0.500

* total DFT energy (no corrections): -5.028 eV per atom
* energy of formation from the pure elements: -0.132 eV per atom

No. 11
Here is a geometry-optimized CoP2Au structure from the Alexandria database. Energies are from GGA-PBE.

a = 4.076 Å, b = 4.076 Å, c = 6.919 Å
α = 90.00°, β = 90.00°, γ = 90.00°
Fractional positions:
Co  0.000  0.000  0.000
Co  0.500  0.500  0.500
P  0.000  0.500  0.250
P  0.000  0.500  0.750
P  0.500  0.000  0.250
P  0.500  0.000  0.750
Au  0.000  0.000  0.500
Au  0.500  0.500  0.000

* total DFT energy (no corrections): -4.856 eV per atom
* energy relative to the lowest polymorph listed for this composition: 0.609 eV/atom
* energy of formation from the pure elements: 0.445 eV per atom

No. 12
Here is a geometry-optimized Co2PAu structure from the Alexandria database. Energies are from GGA-PBE.

a = 3.329 Å, b = 4.571 Å, c = 6.961 Å
α = 90.00°, β = 90.00°, γ = 90.00°
Fractional positions:
Co  0.000  0.000  0.194
Co  0.000  0.000  0.806
Co  0.500  0.500  0.306
Co  0.500  0.500  0.694
P  0.000  0.500  0.500
P  0.500  0.000  0.000
Au  0.000  0.500  0.000
Au  0.500  0.000  0.500

* total DFT energy (no corrections): -5.680 eV per atom
* energy relative to the lowest polymorph listed for this composition: 0.182 eV/atom
* energy of formation from the pure elements: 0.044 eV per atom